1.
The following is a DFT calculation (PBE with a Hubbard U) of a relaxed AcCr2BO8 crystal.

Values from the calculation:
- total magnetization (μB/cell) = 2.0
- total DFT energy (no corrections) (eV/atom) = -7.286

Cell: 5.126 5.126 8.511 Å, 102.11 102.11 71.22°
Fractional coordinates of all 12 atoms:
Ac: 0.000 0.000 0.000
Cr: 0.338 0.338 0.756
Cr: 0.662 0.662 0.244
B: 0.000 0.000 0.500
O: 0.152 0.152 0.574
O: 0.198 0.681 0.754
O: 0.277 0.277 0.933
O: 0.319 0.802 0.246
O: 0.681 0.198 0.754
O: 0.723 0.723 0.067
O: 0.802 0.319 0.246
O: 0.848 0.848 0.426

2.
The following is a DFT calculation (PBE with a Hubbard U) of a relaxed AcCrBO4 crystal.

Values from the calculation:
- total magnetization (μB/cell) = 4.0
- total DFT energy (no corrections) (eV/atom) = -7.584

Cell: 6.458 6.458 6.458 Å, 126.04 99.03 104.75°
Fractional coordinates of all 14 atoms:
Ac: 0.000 0.000 0.000
Ac: 0.500 0.000 0.500
Cr: 0.500 0.000 0.000
Cr: 0.500 0.500 0.500
B: 0.295 0.545 0.750
B: 0.705 0.455 0.250
O: 0.227 0.252 0.524
O: 0.227 0.703 0.976
O: 0.281 0.684 0.597
O: 0.413 0.316 0.097
O: 0.587 0.684 0.903
O: 0.719 0.316 0.403
O: 0.773 0.297 0.024
O: 0.773 0.748 0.476

3.
The following is a DFT calculation (PBE with a Hubbard U) of a relaxed AcCrBO5 crystal.

Values from the calculation:
- total magnetization (μB/cell) = 4.0
- total DFT energy (no corrections) (eV/atom) = -7.591

Cell: 4.940 4.940 8.363 Å, 90.19 90.19 103.47°
Fractional coordinates of all 16 atoms:
Ac: 0.000 0.000 0.000
Ac: 0.000 0.000 0.500
Cr: 0.411 0.589 0.750
Cr: 0.589 0.411 0.250
B: 0.263 0.737 0.250
B: 0.737 0.263 0.750
O: 0.056 0.310 0.750
O: 0.186 0.814 0.750
O: 0.310 0.056 0.250
O: 0.376 0.621 0.112
O: 0.379 0.624 0.388
O: 0.621 0.376 0.612
O: 0.624 0.379 0.888
O: 0.690 0.944 0.750
O: 0.814 0.186 0.250
O: 0.944 0.690 0.250